one:
The following is a PBE calculation of a geometry-optimized Cd2GaAu8 structure, from Alexandria.

Cell lengths 4.6361, 6.4948, 7.9689 Å; angles 114.04, 106.91, 90.00 degrees
Element x y z (fractional)
Cd: 0.1872 0.6872 0.3744
Cd: 0.8128 0.3128 0.6256
Au: 0.1821 0.1822 0.3642
Au: 0.8179 0.8178 0.6358
Au: 0.6334 0.4057 0.2669
Au: 0.6335 0.8612 0.2669
Au: 0.0000 0.7451 0.0000
Au: 0.3665 0.1388 0.7331
Au: 0.3666 0.5943 0.7331
Au: 0.0000 0.2549 0.0000
Ga: 0.5000 0.0000 0.0000

Results
Mass density (g/cm³): 15.0
Space group: Immm, No. 71

---

two:
The following is a PBE calculation of a geometry-optimized Cd2GaAu8 structure, from Alexandria.

Cell lengths 3.5317, 6.7168, 9.5650 Å; angles 108.15, 100.64, 90.00 degrees
Element x y z (fractional)
Cd: 0.8037 0.2294 0.6075
Cd: 0.1963 0.7706 0.3925
Ga: 0.5000 0.0000 0.0000
Au: 0.6407 0.0208 0.2814
Au: 0.4114 0.5754 0.8228
Au: 0.0369 0.7257 0.0739
Au: 0.8001 0.6470 0.6002
Au: 0.5886 0.4246 0.1772
Au: 0.9631 0.2743 0.9261
Au: 0.1999 0.3530 0.3998
Au: 0.3593 0.9792 0.7186

Results
Mass density (g/cm³): 14.7
Space group: C2/m, No. 12

---

one takes first place; second place is 0.019 eV/atom up.